<one>
Computed, not measured: a relaxed Sm2DySc3 crystal at the GGA-PBE level of DFT.

```
Sm2DySc3
1.0
-2.9865 4.4016 -0.3542
-1.9681 -5.0814 -6.4346
-3.4985 -1.6485 9.0113
Sm Dy Sc
4 2 6
Direct
0.5300 0.0600 0.8443
0.4700 0.9400 0.1557
0.8006 0.6013 0.1543
0.1994 0.3987 0.8457
0.8657 0.7314 0.8456
0.1343 0.2686 0.1544
0.2799 0.5598 0.5946
0.9504 0.9007 0.5988
0.6165 0.2330 0.5968
0.3835 0.7670 0.4032
0.0496 0.0993 0.4012
0.7201 0.4402 0.4054
```

Values from the calculation:
- Crystal system: monoclinic
- Density: 5.66 g cm⁻³

<two>
Computed, not measured: a relaxed Sm2DySc3 crystal at the GGA-PBE level of DFT.

```
Sm2DySc3
1.0
3.5611 -3.6097 9.8105
6.0049 -3.1923 2.8613
6.1662 3.3661 5.2159
Sm Dy Sc
4 2 6
Direct
0.9077 0.3890 0.2640
0.5607 0.1110 0.2360
0.4393 0.8890 0.7640
0.0923 0.6110 0.7360
0.0000 0.5000 0.5000
0.0000 0.0000 0.0000
0.7112 0.2500 0.7500
0.2888 0.7500 0.2500
0.3513 0.8013 0.5280
0.6806 0.6987 0.9720
0.6487 0.1987 0.4720
0.3194 0.3013 0.0280
```

Values from the calculation:
- Crystal system: monoclinic
- Density: 5.72 g cm⁻³

Which of them is the most stable? Correct choice: <one>.

<one>
Computed, not measured: a relaxed SmDy3Sc3 crystal at the GGA-PBE level of DFT.

```
SmDy3Sc3
1.0
7.5175 0.4038 3.8927
2.5423 7.0860 3.8927
0.5424 0.4038 8.4481
Sm Dy Sc
2 6 6
Direct
0.3485 0.3485 0.3485
0.6515 0.6515 0.6515
0.7225 0.5684 0.0667
0.0667 0.7225 0.5684
0.5684 0.0667 0.7225
0.4316 0.9333 0.2775
0.9333 0.2775 0.4316
0.2775 0.4316 0.9333
0.7234 0.1683 0.9372
0.1683 0.9372 0.7234
0.9372 0.7234 0.1683
0.0628 0.2766 0.8317
0.8317 0.0628 0.2766
0.2766 0.8317 0.0628
```

Values from the calculation:
- Crystal system: trigonal
- Density: 6.12 g cm⁻³

<two>
Computed, not measured: a relaxed SmDy3Sc3 crystal at the GGA-PBE level of DFT.

```
SmDy3Sc3
1.0
-1.0853 -5.2732 0.9509
2.4971 1.0789 8.8332
-8.7896 1.3553 -2.5162
Sm Dy Sc
2 6 6
Direct
0.2500 0.6667 0.3333
0.7500 0.3333 0.6667
0.2500 0.8047 0.7560
0.2500 0.2440 0.0487
0.2500 0.9513 0.1953
0.7500 0.1953 0.2440
0.7500 0.7560 0.9513
0.7500 0.0487 0.8047
0.7500 0.6148 0.5183
0.7500 0.4817 0.0965
0.7500 0.9035 0.3852
0.2500 0.3852 0.4817
0.2500 0.5183 0.9035
0.2500 0.0965 0.6148
```

Values from the calculation:
- Crystal system: hexagonal
- Density: 6.35 g cm⁻³

Which of them is the most stable? Correct choice: <two>.